1.
A relaxed K3Ce2ZnO6 crystal. Source: Alexandria, functional PBE.

E_form (uncorrected) (kcal/mol of atoms): -52.3
Symmetry: C2/m, No. 12
Crystal system: monoclinic

Unit cell a=6.1935 b=6.1935 c=6.4786 alpha=97.63 beta=97.63 gamma=122.58
With the nearest neighbours (Å) after each atom.
Element x y z (fractional)
K 0.0000 0.0000 0.0000  6 O 2.88-2.98
K 0.3430 0.6570 0.0000  6 O 2.72-2.83
K 0.6570 0.3430 0.0000  6 O 2.72-2.83
Ce 0.1680 0.8320 0.5000  6 O 2.28-2.43
Ce 0.8320 0.1680 0.5000  6 O 2.28-2.43
Zn 0.5000 0.5000 0.5000  2 O 2.03
O 0.0777 0.4378 0.2986  2 Ce 2.28-2.34
O 0.2557 0.2557 0.6647  1 Zn 2.03
O 0.4378 0.0777 0.2986  2 Ce 2.28-2.34
O 0.5622 0.9223 0.7014  2 Ce 2.28-2.34
O 0.7443 0.7443 0.3353  1 Zn 2.03
O 0.9223 0.5622 0.7014  2 Ce 2.28-2.34

=====

2.
A relaxed KCe2Os crystal. Source: Alexandria, functional PBE.

Symmetry: R-3m, No. 166
Energy relative to the elements (kJ/mol of atoms): 8.5
Crystal system: trigonal

Unit cell a=11.3560 b=11.3560 c=11.3560 alpha=20.90 beta=20.90 gamma=20.90
With the nearest neighbours (Å) after each atom.
Element x y z (fractional)
K 0.0000 0.0000 0.0000  6 K 4.12, 2 Ce 4.12
Ce 0.1238 0.1238 0.1238  3 Os 2.77
Ce 0.8762 0.8762 0.8762  3 Os 2.77
Os 0.5000 0.5000 0.5000  6 Ce 2.77

=====

3.
A relaxed K3CeP2S8 crystal. Source: Alexandria, functional PBE.

E_form (uncorrected) (kcal/mol of atoms): -24.3
Symmetry: P2_1/c, No. 14
Crystal system: monoclinic

Unit cell a=9.2239 b=17.3083 c=9.7002 alpha=90.00 beta=90.66 gamma=90.00
With the nearest neighbours (Å) after each atom.
Element x y z (fractional)
K 0.1188 0.2127 0.1312  7 S 3.30-3.67
K 0.1188 0.2873 0.6312  7 S 3.30-3.67
K 0.2328 0.0296 0.5122  5 S 3.20-3.35
K 0.2328 0.4704 0.0122  5 S 3.20-3.35
K 0.3736 0.7078 0.8757  5 S 3.22-3.51
K 0.3736 0.7922 0.3757  5 S 3.22-3.51
K 0.6264 0.2078 0.6243  5 S 3.22-3.51
K 0.6264 0.2922 0.1243  5 S 3.22-3.51
K 0.7672 0.5296 0.9878  5 S 3.20-3.35
K 0.7672 0.9704 0.4878  5 S 3.20-3.35
K 0.8812 0.7127 0.3688  7 S 3.30-3.67
K 0.8812 0.7873 0.8688  7 S 3.30-3.67
Ce 0.2750 0.5131 0.4735  7 S 2.89-3.12
Ce 0.2750 0.9869 0.9735  7 S 2.89-3.12
Ce 0.7250 0.0131 0.0265  7 S 2.89-3.12
Ce 0.7250 0.4869 0.5265  7 S 2.89-3.12
P 0.0252 0.5980 0.7186  4 S 2.02-2.08
P 0.0252 0.9020 0.2186  4 S 2.02-2.08
P 0.4984 0.1011 0.2422  4 S 2.02-2.07
P 0.4984 0.3989 0.7422  4 S 2.02-2.07
P 0.5016 0.6011 0.2578  4 S 2.02-2.07
P 0.5016 0.8989 0.7578  4 S 2.02-2.07
P 0.9748 0.0980 0.7814  4 S 2.02-2.08
P 0.9748 0.4020 0.2814  4 S 2.02-2.08
S 0.0412 0.0196 0.1781  1 P 2.08
S 0.0412 0.4804 0.6781  1 P 2.08
S 0.0644 0.6249 0.9186  1 P 2.02
S 0.0644 0.8751 0.4186  1 P 2.02
S 0.1671 0.6550 0.5920  1 P 2.06
S 0.1671 0.8450 0.0920  1 P 2.06
S 0.1844 0.1286 0.8333  1 P 2.06
S 0.1844 0.3714 0.3333  1 P 2.06
S 0.2831 0.6134 0.2267  1 P 2.05
S 0.2831 0.8866 0.7267  1 P 2.05
S 0.3832 0.1730 0.3629  1 P 2.02
S 0.3832 0.3270 0.8629  1 P 2.02
S 0.4514 0.5156 0.7504  1 P 2.07
S 0.4514 0.9844 0.2504  1 P 2.07
S 0.4643 0.1239 0.0344  1 P 2.07
S 0.4643 0.3761 0.5344  1 P 2.07
S 0.5357 0.6239 0.4656  1 P 2.07
S 0.5357 0.8761 0.9656  1 P 2.07
S 0.5486 0.0156 0.7496  1 P 2.07
S 0.5486 0.4844 0.2496  1 P 2.07
S 0.6168 0.6730 0.1371  1 P 2.02
S 0.6168 0.8270 0.6371  1 P 2.02
S 0.7169 0.1134 0.2733  1 P 2.05
S 0.7169 0.3866 0.7733  1 P 2.05
S 0.8156 0.6286 0.6667  1 P 2.06
S 0.8156 0.8714 0.1667  1 P 2.06
S 0.8329 0.1550 0.9080  1 P 2.06
S 0.8329 0.3450 0.4080  1 P 2.06
S 0.9356 0.1249 0.5814  1 P 2.02
S 0.9356 0.3751 0.0814  1 P 2.02
S 0.9588 0.5196 0.3219  1 P 2.08
S 0.9588 0.9804 0.8219  1 P 2.08

=====

4.
A relaxed K2CePS6 crystal. Source: Alexandria, functional PBE.

E_form (uncorrected) (kcal/mol of atoms): -18.9
Symmetry: P-3m1, No. 164
Crystal system: trigonal

Unit cell a=7.1110 b=7.1110 c=6.4156 alpha=90.00 beta=90.00 gamma=120.00
With the nearest neighbours (Å) after each atom.
Element x y z (fractional)
K 0.3333 0.6667 0.3237  9 S 3.26-3.56
K 0.6667 0.3333 0.6763  9 S 3.26-3.56
Ce 0.0000 0.0000 0.0000  6 S 2.71
P 0.0000 0.0000 0.5000  6 S 2.27
S 0.1529 0.3058 0.6962  1 P 2.27
S 0.1529 0.8471 0.6962  1 P 2.27
S 0.3058 0.1529 0.3038  1 P 2.27
S 0.6942 0.8471 0.6962  1 P 2.27
S 0.8471 0.1529 0.3038  1 P 2.27
S 0.8471 0.6942 0.3038  1 P 2.27

=====

5.
A relaxed KCeP2Se8 crystal. Source: Alexandria, functional PBE.

E_form (uncorrected) (kcal/mol of atoms): -11.7
Symmetry: R-3, No. 148
Crystal system: trigonal

Unit cell a=10.4308 b=10.4308 c=10.4308 alpha=36.01 beta=36.01 gamma=36.01
With the nearest neighbours (Å) after each atom.
Element x y z (fractional)
K 0.0000 0.0000 0.0000  12 Se 3.70-3.73
Ce 0.5000 0.5000 0.5000  6 Se 2.93
P 0.2486 0.2486 0.2486  4 Se 2.19-2.25
P 0.7514 0.7514 0.7514  4 Se 2.19-2.25
Se 0.0845 0.8162 0.4221  1 P 2.25
Se 0.1838 0.5779 0.9155  1 P 2.25
Se 0.3234 0.3234 0.3234  1 P 2.19
Se 0.4221 0.0845 0.8162  1 P 2.25
Se 0.5779 0.9155 0.1838  1 P 2.25
Se 0.6766 0.6766 0.6766  1 P 2.19
Se 0.8162 0.4221 0.0845  1 P 2.25
Se 0.9155 0.1838 0.5779  1 P 2.25

=====

6.
A relaxed K3Ce3PaS8 crystal. Source: Alexandria, functional PBE.

E_form (uncorrected) (kcal/mol of atoms): -40.5
Symmetry: R-3m, No. 166
Crystal system: trigonal

Unit cell a=8.8823 b=8.8823 c=8.8823 alpha=56.12 beta=56.12 gamma=56.12
With the nearest neighbours (Å) after each atom.
Element x y z (fractional)
K 0.0000 0.5000 0.5000  6 S 3.26-3.27
K 0.5000 0.0000 0.5000  6 S 3.26-3.27
K 0.5000 0.5000 0.0000  6 S 3.26-3.27
Ce 0.0000 0.0000 0.5000  6 S 2.86-2.87
Ce 0.0000 0.5000 0.0000  6 S 2.86-2.87
Ce 0.5000 0.0000 0.0000  6 S 2.86-2.87
Pa 0.5000 0.5000 0.5000  6 S 2.73
S 0.2351 0.2351 0.2351  3 Ce 2.86
S 0.2474 0.7247 0.7247  1 Pa 2.73, 2 Ce 2.87
S 0.2753 0.2753 0.7526  1 Pa 2.73, 2 Ce 2.87
S 0.2753 0.7526 0.2753  1 Pa 2.73, 2 Ce 2.87
S 0.7247 0.2474 0.7247  1 Pa 2.73, 2 Ce 2.87
S 0.7247 0.7247 0.2474  1 Pa 2.73, 2 Ce 2.87
S 0.7526 0.2753 0.2753  1 Pa 2.73, 2 Ce 2.87
S 0.7649 0.7649 0.7649  3 Ce 2.86

=====

Quick rundown of energy, same order as above: -73.42 -23.84 -67.81 -46.48 -51.82 -89.95 eV per formula unit